1.
# PBE-GGA PaNbCo2, relaxed
# DOS(E_F) (states/eV/f.u.): 3.98
# Polymorph energy (0 for the lowest one) (eV/atom): 0.003
# Size of the total moment (μB/f.u.): 0.0
data_PaNbCo2
_space_group_name_H-M_alt 'C 1 2/m 1'
_space_group_IT_number 12
_cell_length_a 7.3279
_cell_length_b 4.0077
_cell_length_c 5.4359
_cell_angle_alpha 90.00
_cell_angle_beta 120.34
_cell_angle_gamma 90.00
loop_
_space_group_symop_operation_xyz
'x,y,z'
'-x,-y,-z'
'-x,y,-z'
'x,-y,z'
'x+1/2,y+1/2,z'
'-x+1/2,-y+1/2,-z'
'-x+1/2,y+1/2,-z'
'x+1/2,-y+1/2,z'
loop_
_atom_site_label
_atom_site_fract_x
_atom_site_fract_y
_atom_site_fract_z
Pa1 0.0000 0.0000 0.0000
Nb1 0.0000 0.5000 0.5000
Co1 0.2308 0.0000 0.6624

2.
# PBE-GGA PaNbCo2, relaxed
# DOS(E_F) (states/eV/f.u.): 5.68
# Polymorph energy (0 for the lowest one) (eV/atom): 0.059
# Size of the total moment (μB/f.u.): 2.0
data_PaNbCo2
_space_group_name_H-M_alt 'P 4/m m m'
_space_group_IT_number 123
_space_group_name_Hall '-P 4 2'
_cell_length_a 4.2903
_cell_length_b 4.2903
_cell_length_c 3.5246
_cell_angle_alpha 90.00
_cell_angle_beta 90.00
_cell_angle_gamma 90.00
loop_
_atom_site_label
_atom_site_fract_x
_atom_site_fract_y
_atom_site_fract_z
Pa1 0.0000 0.0000 0.0000
Nb1 0.5000 0.5000 0.0000
Co1 0.0000 0.5000 0.5000

3.
# PBE-GGA Pa2NbCo2, relaxed
# DOS(E_F) (states/eV/f.u.): 8.33
# Electronic total energy (eV/atom): -8.81
# Size of the total moment (μB/f.u.): 0.0
data_Pa2NbCo2
_space_group_name_H-M_alt 'C 1 2/m 1'
_space_group_IT_number 12
_cell_length_a 9.4361
_cell_length_b 6.3126
_cell_length_c 3.3370
_cell_angle_alpha 90.00
_cell_angle_beta 109.85
_cell_angle_gamma 90.00
loop_
_space_group_symop_operation_xyz
'x,y,z'
'-x,-y,-z'
'-x,y,-z'
'x,-y,z'
'x+1/2,y+1/2,z'
'-x+1/2,-y+1/2,-z'
'-x+1/2,y+1/2,-z'
'x+1/2,-y+1/2,z'
loop_
_atom_site_label
_atom_site_fract_x
_atom_site_fract_y
_atom_site_fract_z
Pa1 0.2003 0.0000 0.1998
Nb1 0.0000 0.5000 0.0000
Co1 0.0000 0.1973 0.5000

4.
# PBE-GGA PaNbCo4, relaxed
# DOS(E_F) (states/eV/f.u.): 6.16
# Electronic total energy (eV/atom): -8.19
# Size of the total moment (μB/f.u.): 0.0
data_PaNbCo4
_space_group_name_H-M_alt 'F -4 3 m'
_space_group_IT_number 216
_space_group_name_Hall 'F -4 2 3'
_cell_length_a 6.9023
_cell_length_b 6.9023
_cell_length_c 6.9023
_cell_angle_alpha 90.00
_cell_angle_beta 90.00
_cell_angle_gamma 90.00
loop_
_atom_site_label
_atom_site_fract_x
_atom_site_fract_y
_atom_site_fract_z
Pa1 0.0000 0.0000 0.0000
Nb1 0.2500 0.2500 0.2500
Co1 0.1249 0.1249 0.6249